Record 1
A plane-wave DFT calculation with PBE was carried out for ZnAg2Pt after structural relaxation.

Its calculated volume is 65.2 Å³/cell. Its formation enthalpy at 0 K is -0.173 eV/atom. Its density of states at the Fermi level is 1.53 states/eV/f.u. For the calculated density, the calculation gives 12.13 g/cm³. The total magnetization comes out at 0.000 μB/atom. Its calculated total energy is -3.428 eV/atom.

The space group is P4mm (No. 99) and the conventional cell measures 2.936, 2.936 and 7.560 Å, with angles of 90.00, 90.00 and 90.00 degrees. The inequivalent atoms are Zn at (0.000, 0.000, 0.000), Ag at (0.000, 0.000, 0.523), Ag at (0.500, 0.500, 0.248) and Pt at (0.500, 0.500, 0.790).

=====

Record 2
A plane-wave DFT calculation with PBE was carried out for Sr3GePt3 after structural relaxation.

Its calculated volume is 712.2 Å³/cell. Its formation enthalpy at 0 K is -0.821 eV/atom. Its density of states at the Fermi level is 2.55 states/eV/f.u. For the calculated density, the calculation gives 8.59 g/cm³. The total magnetization comes out at 0.000 μB/atom. Its calculated total energy is -4.791 eV/atom.

The space group is C2/m (No. 12) and the conventional cell measures 11.110, 4.467 and 15.351 Å, with angles of 90.00, 110.79 and 90.00 degrees. The inequivalent atoms are Sr at (0.024, 0.000, 0.382), Sr at (0.102, 0.000, 0.925), Sr at (0.247, 0.500, 0.773), Ge at (0.240, 0.500, 0.406), Pt at (0.068, 0.500, 0.246), Pt at (0.109, 0.500, 0.080) and Pt at (0.149, 0.500, 0.542).

=====

Record 3
A plane-wave DFT calculation with PBE was carried out for Ho4GaAg2Hg after structural relaxation.

Its calculated volume is 574.0 Å³/cell. Its formation enthalpy at 0 K is -0.436 eV/atom. Its density of states at the Fermi level is 4.79 states/eV/f.u. For the calculated density, the calculation gives 9.94 g/cm³. The total magnetization comes out at 0.000 μB/atom. Its calculated total energy is -3.854 eV/atom.

The space group is R-3m (No. 166, hexagonal axes) and the conventional cell measures 5.1328, 5.1328 and 25.1569 Å, with angles of 90.00, 90.00 and 120.00 degrees. The inequivalent atoms are Ho at (0.0000, 0.0000, 0.1229), Ho at (0.0000, 0.0000, 0.3729), Ga at (0.0000, 0.0000, 0.0000), Ag at (0.0000, 0.0000, 0.2492) and Hg at (0.0000, 0.0000, 0.5000).

=====

Record 4
A plane-wave DFT calculation with PBE was carried out for NaHIr2 after structural relaxation.

Its calculated volume is 489.1 Å³/cell. Its density of states at the Fermi level is 3.29 states/eV/f.u. For the calculated density, the calculation gives 11.09 g/cm³. The total magnetization comes out at 0.197 μB/atom. Its calculated total energy is -5.148 eV/atom. Its energy above the most stable polymorph in this dataset is 0.000 eV/atom.

The space group is Fd-3m (No. 227, origin choice 2) and the conventional cell measures 7.879, 7.879 and 7.879 Å, with angles of 90.00, 90.00 and 90.00 degrees. The inequivalent atoms are Na at (0.125, 0.125, 0.125), H at (0.125, 0.125, 0.625) and Ir at (0.000, 0.000, 0.500).

=====

Record 5
A plane-wave DFT calculation with PBE was carried out for Na3Hg5H2 after structural relaxation.

Its calculated volume is 443.5 Å³/cell. Its density of states at the Fermi level is 2.80 states/eV/f.u. For the calculated density, the calculation gives 8.04 g/cm³. The total magnetization comes out at 0.000 μB/atom. Its calculated total energy is -1.303 eV/atom.

The space group is P-1 (No. 2) and the conventional cell measures 5.102, 6.808 and 13.442 Å, with angles of 104.41, 100.59 and 91.04 degrees. The inequivalent atoms are Na at (0.198, 0.449, 0.395), Na at (0.208, 0.040, 0.914), Na at (0.294, 0.626, 0.086), Hg at (0.156, 0.531, 0.809), Hg at (0.159, 0.909, 0.317), Hg at (0.288, 0.822, 0.593), Hg at (0.304, 0.269, 0.592), Hg at (0.346, 0.222, 0.190), H at (0.224, 0.382, 0.931) and H at (0.292, 0.951, 0.069).

=====

Record 6
A plane-wave DFT calculation with PBE was carried out for ThPaTePb after structural relaxation.

Its calculated volume is 447.7 Å³/cell. For the uncorrected formation energy, the calculation gives -0.4114 eV/atom. Its density of states at the Fermi level is 5.99 states/eV/f.u. For the calculated density, the calculation gives 11.84 g/cm³. The total magnetization comes out at 0.133 μB/atom. Its calculated total energy is -6.353 eV/atom.

The space group is F-43m (No. 216) and the conventional cell measures 7.650, 7.650 and 7.650 Å, with angles of 90.00, 90.00 and 90.00 degrees. The inequivalent atoms are Th at (0.000, 0.000, 0.000), Pa at (0.000, 0.000, 0.500), Te at (0.250, 0.250, 0.250) and Pb at (0.250, 0.250, 0.750).

=====

Record 7
A plane-wave DFT calculation with PBE was carried out for NdDyCu2 after structural relaxation.

Its calculated volume is 90.6 Å³/cell. Its formation enthalpy at 0 K is -0.209 eV/atom. Its density of states at the Fermi level is 2.94 states/eV/f.u. For the calculated density, the calculation gives 7.95 g/cm³. The total magnetization comes out at 0.000 μB/atom. Its calculated total energy is -4.600 eV/atom. Its energy above the most stable polymorph in this dataset is 0.000 eV/atom.

The space group is Pm (No. 6) and the conventional cell measures 3.838, 4.507 and 5.562 Å, with angles of 90.00, 109.59 and 90.00 degrees. The inequivalent atoms are Nd at (0.000, 0.000, 0.000), Dy at (0.719, 0.500, 0.435), Cu at (0.290, 0.000, 0.574) and Cu at (0.422, 0.500, 0.846).

=====

Record 8
A plane-wave DFT calculation with PBE was carried out for Li4Ho3InS8 after structural relaxation.

Its calculated volume is 959.1 Å³/cell. For the uncorrected formation energy, the calculation gives -1.5939 eV/atom. For the calculated density, the calculation gives 4.64 g/cm³. The total magnetization comes out at 0.000 μB/atom. Its calculated total energy is -5.166 eV/atom.

The space group is R-3m (No. 166, hexagonal axes) and the conventional cell measures 7.7206, 7.7206 and 18.5804 Å, with angles of 90.00, 90.00 and 120.00 degrees. The inequivalent atoms are Li at (0.0000, 0.0000, 0.0000), Li at (0.0000, 0.5000, 0.0000), Ho at (0.0000, 0.5000, 0.5000), In at (0.0000, 0.0000, 0.5000), S at (0.0000, 0.0000, 0.2496) and S at (0.0056, 0.5028, 0.2501).

=====

Record 9
A plane-wave DFT calculation with PBE was carried out for Pa2NbOs after structural relaxation.

Its calculated volume is 339.9 Å³/cell. Its formation enthalpy at 0 K is 0.015 eV/atom. Its density of states at the Fermi level is 5.19 states/eV/f.u. For the calculated density, the calculation gives 14.56 g/cm³. The total magnetization comes out at 0.000 μB/atom. Its calculated total energy is -10.058 eV/atom. Its energy above the most stable polymorph in this dataset is 0.000 eV/atom.

The space group is Fm-3m (No. 225) and the conventional cell measures 6.979, 6.979 and 6.979 Å, with angles of 90.00, 90.00 and 90.00 degrees. The inequivalent atoms are Pa at (0.250, 0.250, 0.250), Nb at (0.000, 0.000, 0.000) and Os at (0.000, 0.000, 0.500).

=====

Record 10
A plane-wave DFT calculation with PBE was carried out for Tb7PrHg2 after structural relaxation.

Its calculated volume is 750.1 Å³/cell. Its formation enthalpy at 0 K is 0.276 eV/atom. Its density of states at the Fermi level is 21.28 states/eV/f.u. For the calculated density, the calculation gives 7.33 g/cm³. The total magnetization comes out at 0.172 μB/atom. Its calculated total energy is -3.504 eV/atom.

The space group is Cmmm (No. 65) and the conventional cell measures 9.148, 15.170 and 5.405 Å, with angles of 90.00, 90.00 and 90.00 degrees. The inequivalent atoms are Tb at (0.000, 0.000, 0.000), Tb at (0.000, 0.259, 0.500), Tb at (0.183, 0.377, 0.000), Pr at (0.000, 0.500, 0.500) and Hg at (0.000, 0.195, 0.000).